Entry 1:
The following is a PBE calculation of a relaxed structure of SiPtCl2, from Alexandria via LeMat-Bulk.

Values from the calculation:
E_tot, eV/atom: -4.295
Magnetic moment, μB/cell: 0.00
Space group: Pm, No. 6
E_form (uncorrected), eV per atom: -0.506

Lattice parameters (Å, degrees): 3.105 6.294 6.823 50.51 90.00 90.00
Fractional coordinates of all 4 atoms:
1 Cl 0.000 0.996 0.047
2 Cl 0.500 0.189 0.356
3 Pt 0.000 0.491 0.676
4 Si 0.500 0.824 0.421

=====

Entry 2:
The following is a PBE calculation of a relaxed structure of Si2PtCl, from Alexandria via LeMat-Bulk.

Values from the calculation:
E_tot, eV/atom: -5.169
Magnetic moment, μB/cell: 0.00
Space group: R-3m, No. 166
E_form (uncorrected), eV per atom: -0.485

Lattice parameters (Å, degrees): 3.920 3.920 6.873 106.56 106.56 60.00
Fractional coordinates of all 4 atoms:
1 Pt 0.250 0.250 0.250
2 Si 0.630 0.630 0.389
3 Si 0.870 0.870 0.111
4 Cl 0.750 0.750 0.750

=====

Entry 3:
The following is a PBE calculation of a relaxed structure of SiPt2Cl, from Alexandria via LeMat-Bulk.

Values from the calculation:
E_tot, eV/atom: -5.156
Magnetic moment, μB/cell: 0.00
Space group: Cm, No. 8
E_form (uncorrected), eV per atom: -0.318

Lattice parameters (Å, degrees): 7.207 7.207 3.208 103.19 103.19 27.45
Fractional coordinates of all 4 atoms:
1 Pt 0.016 0.016 0.120
2 Pt 0.836 0.836 0.506
3 Si 0.454 0.454 0.560
4 Cl 0.194 0.194 0.314

=====

Entry 4:
The following is a PBE calculation of a relaxed structure of Si2PtCl, from Alexandria via LeMat-Bulk.

Values from the calculation:
E_tot, eV/atom: -4.629
Magnetic moment, μB/cell: 0.00
Space group: Cmmm, No. 65
E_form (uncorrected), eV per atom: 0.054

Lattice parameters (Å, degrees): 3.126 3.126 7.088 90.00 90.00 90.21
Fractional coordinates of all 4 atoms:
1 Si 0.000 0.000 0.541
2 Si 0.000 0.000 0.959
3 Pt 0.500 0.500 0.750
4 Cl 0.500 0.500 0.250